## ZnFeNiW (PBE-GGA)

Data for a geometry-optimized ZnFeNiW structure.

POSCAR file:
```
ZnFeNiW
1.0
0.000 2.942 2.942
2.942 0.000 2.942
2.942 2.942 0.000
Zn Fe Ni W
1 1 1 1
direct
0.000 0.000 0.000
0.250 0.250 0.250
0.750 0.750 0.750
0.500 0.500 0.500
```

## Properties
- Formation enthalpy at 0 K: 0.08 eV/atom
- Offset from the most stable computed form: 0 meV/atom
- V: 12.7 Å³ per atom
- Total DFT energy (no corrections): -0.2553 hartree per atom



## BaHgNO (PBE-GGA)

Data for a geometry-optimized BaHgNO structure.

POSCAR file:
```
BaHgNO
1.0
3.942 0.000 0.000
0.000 6.322 0.000
0.000 0.000 6.307
Ba Hg N O
2 2 2 2
direct
0.000 0.176 0.000
0.000 0.824 0.500
0.500 0.297 0.498
0.500 0.703 0.998
0.000 0.396 0.493
0.000 0.604 0.993
0.500 0.003 0.749
0.500 0.997 0.249
```

## Properties
- Offset from the most stable computed form: 0 meV/atom
- V: 19.6 Å³ per atom
- Total DFT energy (no corrections): -0.1571 hartree per atom